[1]
Computed, not measured: an optimized crystal structure of Ta2FeW at the PBE-GGA level of DFT.

abc: 3.212 4.379 4.532
angles: 90.00 90.00 90.00
Space group Pmmm (No. 47)
Symmetry-distinct sites (fractional):
Ta (0.000, 0.000, 0.000) x1
Ta (0.500, 0.000, 0.500) x1
Fe (0.000, 0.500, 0.500) x1
W (0.500, 0.500, 0.000) x1

Summary:
For the raw total energy, the calculation gives -11.22 eV per atom. As for the spin magnetization: 1.16 μB/cell.


[2]
Computed, not measured: an optimized crystal structure of CaLaCeDy at the PBE-GGA level of DFT.

abc: 8.276 8.276 8.276
angles: 90.00 90.00 90.00
Space group F-43m (No. 216)
Symmetry-distinct sites (fractional):
Ca (0.000, 0.000, 0.000) x4
La (0.250, 0.250, 0.750) x4
Ce (0.000, 0.000, 0.500) x4
Dy (0.250, 0.250, 0.250) x4

Summary:
For the raw total energy, the calculation gives -4.12 eV per atom. As for the spin magnetization: 8.68 μB/cell.


[3]
Computed, not measured: an optimized crystal structure of Zr3Ir5 at the PBE-GGA level of DFT.

abc: 5.317 12.885 16.506
angles: 90.00 90.00 90.00
Space group Fmm2 (No. 42)
Symmetry-distinct sites (fractional):
Zr (0.000, 0.000, 0.000) x4
Zr (0.000, 0.000, 0.388) x4
Zr (0.000, 0.178, 0.697) x8
Zr (0.250, 0.250, 0.426) x8
Ir (0.000, 0.099, 0.844) x8
Ir (0.000, 0.107, 0.534) x8
Ir (0.000, 0.129, 0.261) x8
Ir (0.000, 0.185, 0.079) x8
Ir (0.240, 0.000, 0.156) x8

Summary:
For the raw total energy, the calculation gives -9.20 eV per atom. As for the spin magnetization: 0.00 μB/cell.


[4]
Computed, not measured: an optimized crystal structure of Al2NiSe at the PBE-GGA level of DFT.

abc: 3.547 4.026 4.440
angles: 90.00 90.00 90.00
Space group Pmmm (No. 47)
Symmetry-distinct sites (fractional):
Al (0.000, 0.000, 0.000) x1
Al (0.500, 0.000, 0.500) x1
Ni (0.000, 0.500, 0.500) x1
Se (0.500, 0.500, 0.000) x1

Summary:
For the uncorrected formation energy, the calculation gives 106 meV per atom. For the raw total energy, the calculation gives -4.08 eV per atom. As for the spin magnetization: 0.00 μB/cell.


[5]
Computed, not measured: an optimized crystal structure of CeNp2C at the PBE-GGA level of DFT.

abc: 3.7358 3.7358 16.9084
angles: 90.00 90.00 120.00
Space group R-3m (No. 166, hexagonal axes)
Symmetry-distinct sites (fractional):
Ce (0.0000, 0.0000, 0.0000) x3
Np (0.0000, 0.0000, 0.2390) x6
C (0.0000, 0.0000, 0.5000) x3

Summary:
The energy relative to the lowest polymorph listed for this composition comes out at 0 meV/atom. For the raw total energy, the calculation gives -9.91 eV per atom. As for the spin magnetization: 14.67 μB/cell.


[6]
Computed, not measured: an optimized crystal structure of AuBr2O at the PBE-GGA level of DFT.

abc: 5.336 5.336 13.255
angles: 90.00 90.00 90.00
Space group I-42d (No. 122)
Symmetry-distinct sites (fractional):
Au (0.000, 0.000, 0.000) x4
Br (0.179, 0.250, 0.625) x8
O (0.000, 0.000, 0.500) x4

Summary:
For the uncorrected formation energy, the calculation gives 590 meV per atom. The energy relative to the lowest polymorph listed for this composition comes out at 0 meV/atom. For the raw total energy, the calculation gives -2.31 eV per atom. As for the spin magnetization: 0.00 μB/cell.


[7]
Computed, not measured: an optimized crystal structure of Cs2HgSe2 at the PBE-GGA level of DFT.

abc: 10.986 10.986 3.423
angles: 90.00 90.00 90.00
Space group P4/mbm (No. 127)
Symmetry-distinct sites (fractional):
Cs (0.145, 0.355, 0.000) x4
Hg (0.000, 0.000, 0.000) x2
Se (0.150, 0.650, 0.500) x4

Summary:
For the uncorrected formation energy, the calculation gives -424 meV per atom. The energy relative to the lowest polymorph listed for this composition comes out at 475 meV/atom. For the raw total energy, the calculation gives -2.22 eV per atom. As for the spin magnetization: 1.30 μB/cell.


[8]
Computed, not measured: an optimized crystal structure of Ba2LaCd at the PBE-GGA level of DFT.

abc: 5.289 5.289 11.561
angles: 90.00 90.00 90.00
Space group I4/mmm (No. 139)
Symmetry-distinct sites (fractional):
Ba (0.000, 0.500, 0.250) x4
La (0.000, 0.000, 0.000) x2
Cd (0.000, 0.000, 0.500) x2

Summary:
The energy relative to the lowest polymorph listed for this composition comes out at 177 meV/atom. For the raw total energy, the calculation gives -2.35 eV per atom. As for the spin magnetization: 0.01 μB/cell.